FeP2Pt meta-GGA SCAN single point on PBEsol structure; raw total energy = -27.20 eV/atom; size of the total moment = 2.5 μB/cell; DFT formation energy = 0.0846 eV/atom; V = 52 Å³ per cell
1.0
3.099 0.000 0.000
0.000 4.085 0.000
0.000 0.000 4.085
Pt Fe P
1 1 2
direct
0.500 0.500 0.500 Pt
0.500 0.000 0.000 Fe
0.000 0.500 0.000 P
0.000 0.000 0.500 P

Fe2PPt meta-GGA SCAN single point on PBEsol structure; raw total energy = -29.46 eV/atom; size of the total moment = 6.0 μB/cell; DFT formation energy = -0.2512 eV/atom; V = 50 Å³ per cell
1.0
-1.472 -0.564 -3.182
-2.161 -2.427 1.430
-0.856 4.310 1.613
Pt Fe P
1 2 1
direct
0.000 0.000 0.000 Pt
0.250 0.750 0.500 Fe
0.750 0.250 0.500 Fe
0.500 0.500 0.000 P

FeP2Pt meta-GGA SCAN single point on PBEsol structure; raw total energy = -27.31 eV/atom; size of the total moment = 2.2 μB/cell; DFT formation energy = -0.0287 eV/atom; V = 51 Å³ per cell
1.0
-0.950 2.728 0.613
-3.703 -1.166 -0.550
1.543 -0.490 4.571
Pt P Fe
1 2 1
direct
0.500 0.500 0.000 Pt
0.500 0.500 0.500 P
0.000 0.000 0.000 P
0.000 0.000 0.500 Fe

RbFePPt2 meta-GGA SCAN single point on PBEsol structure; raw total energy = -37.48 eV/atom; size of the total moment = 3.2 μB/cell; DFT formation energy = 0.4531 eV/atom; V = 99 Å³ per cell
1.0
4.233 0.000 0.000
0.000 4.837 0.000
0.000 0.000 4.837
P Fe Pt Rb
1 1 2 1
direct
0.500 0.000 0.000 P
0.000 0.000 0.000 Fe
0.000 0.000 0.500 Pt
0.000 0.500 0.000 Pt
0.500 0.500 0.500 Rb

RbFe3P meta-GGA SCAN single point on PBEsol structure; raw total energy = -16.46 eV/atom; size of the total moment = 8.0 μB/cell; DFT formation energy = 0.6479 eV/atom; V = 89 Å³ per cell
1.0
4.466 0.000 0.000
0.000 4.466 0.000
0.000 0.000 4.466
Fe Rb P
3 1 1
direct
0.000 0.000 0.500 Fe
0.500 0.000 0.000 Fe
0.000 0.500 0.000 Fe
0.500 0.500 0.500 Rb
0.000 0.000 0.000 P

FeRe2P meta-GGA SCAN single point on PBEsol structure; raw total energy = -42.43 eV/atom; size of the total moment = 2.4 μB/cell; DFT formation energy = 0.2505 eV/atom; V = 51 Å³ per cell
1.0
3.629 0.000 0.000
0.000 3.629 0.000
-1.814 -1.814 3.878
P Fe Re
1 1 2
direct
0.250 0.750 0.500 P
0.500 0.500 0.000 Fe
0.000 0.000 0.000 Re
0.750 0.250 0.500 Re

FeRe2P meta-GGA SCAN single point on PBEsol structure; raw total energy = -42.73 eV/atom; size of the total moment = 1.0 μB/cell; DFT formation energy = -0.0467 eV/atom; V = 50 Å³ per cell
1.0
-0.863 -1.635 -2.136
3.123 -2.689 0.797
-3.613 0.053 3.286
Re P Fe
2 1 1
direct
0.756 0.255 0.511 Re
0.973 0.973 0.947 Re
0.237 0.737 0.474 P
0.534 0.534 0.068 Fe

FeRe2P meta-GGA SCAN single point on PBEsol structure; raw total energy = -42.33 eV/atom; size of the total moment = 3.1 μB/cell; DFT formation energy = 0.3470 eV/atom; V = 53 Å³ per cell
1.0
-0.449 -1.980 3.680
-2.773 -3.137 0.374
1.349 -3.957 0.436
Re P Fe
2 1 1
direct
0.000 0.000 0.000 Re
0.750 0.750 0.750 Re
0.250 0.250 0.250 P
0.500 0.500 0.500 Fe

Fe2ReP meta-GGA SCAN single point on PBEsol structure; raw total energy = -29.29 eV/atom; size of the total moment = 0.0 μB/cell; DFT formation energy = 0.1471 eV/atom; V = 46 Å³ per cell
1.0
-2.071 1.100 -1.227
-2.181 -0.943 2.833
1.959 3.519 2.679
P Fe Re
1 2 1
direct
0.500 0.500 0.000 P
0.136 0.000 0.765 Fe
0.864 0.000 0.235 Fe
0.500 0.500 0.500 Re

FeReP2 meta-GGA SCAN single point on PBEsol structure; raw total energy = -27.44 eV/atom; size of the total moment = 0.6 μB/cell; DFT formation energy = 0.0706 eV/atom; V = 48 Å³ per cell
1.0
2.824 0.000 0.000
-1.412 3.639 0.004
0.000 -1.016 4.673
P Re Fe
2 1 1
direct
0.752 0.504 0.768 P
0.248 0.496 0.232 P
0.000 0.000 0.500 Re
0.500 0.000 0.000 Fe

FeRe2P meta-GGA SCAN single point on PBEsol structure; raw total energy = -42.65 eV/atom; size of the total moment = 1.9 μB/cell; DFT formation energy = 0.0317 eV/atom; V = 50 Å³ per cell
1.0
2.834 0.000 0.000
0.000 2.834 0.000
0.000 0.000 6.196
Re Fe P
2 1 1
direct
0.000 0.000 0.736 Re
0.000 0.000 0.264 Re
0.500 0.500 0.000 Fe
0.500 0.500 0.500 P

Fe2ReP meta-GGA SCAN single point on PBEsol structure; raw total energy = -29.25 eV/atom; size of the total moment = 0.0 μB/cell; DFT formation energy = 0.1839 eV/atom; V = 47 Å³ per cell
1.0
2.648 0.000 0.000
0.000 4.510 0.173
-1.324 -0.469 3.936
Fe Re P
2 1 1
direct
0.990 0.994 0.979 Fe
0.254 0.692 0.508 Fe
0.732 0.209 0.464 Re
0.524 0.605 0.048 P